w | Here is an optimized crystal structure of Nb2TcHOs from Alexandria via LeMat-Bulk. Energies are from PBE.

Lattice parameters (Å, degrees): 4.377 4.377 3.551 90.00 90.00 90.00
Space group P4/mmm (No. 123)
One atom of each set of equivalent atoms:
Nb1 0.000 0.500 0.000
Tc1 0.000 0.000 0.500
H1 0.500 0.500 0.000
Os1 0.500 0.500 0.500

Output
Magnetic moment   0.0 μB/f.u.

=====

x | Here is an optimized crystal structure of Nb2TcHOs from Alexandria via LeMat-Bulk. Energies are from PBE.

Lattice parameters (Å, degrees): 4.359 4.359 3.569 90.00 90.00 90.00
Space group P4/mmm (No. 123)
One atom of each set of equivalent atoms:
Nb1 0.000 0.500 0.000
Tc1 0.000 0.000 0.500
H1 0.000 0.000 0.000
Os1 0.500 0.500 0.500

Output
Magnetic moment   0.0 μB/f.u.

=====

Which is most stable, and by how much? x, by 6 meV per atom.